{"formula": "SrMnW", "functional": "PBE-GGA", "state": "optimized geometry", "lattice": [[3.284, 0.000, 0.000], [-1.642, 2.844, 0.000], [0.000, 0.000, 6.991]], "species": ["Sr", "Mn", "W"], "fractional_positions": [[0.000, 0.000, 0.000], [0.333, 0.667, 0.620], [0.667, 0.333, 0.418]], "formation_energy_ev_per_atom": 1.022, "m_tot_mub_per_cell": 0.84}

{"formula": "YMg2AlPd4", "functional": "PBE-GGA", "state": "optimized geometry", "lattice": [[2.287, 1.320, 7.634], [-2.287, 1.320, 7.634], [0.000, -2.640, 7.634]], "species": ["Y", "Mg", "Mg", "Al", "Pd", "Pd", "Pd", "Pd"], "fractional_positions": [[0.000, 0.000, 0.000], [0.246, 0.246, 0.246], [0.754, 0.754, 0.754], [0.500, 0.500, 0.500], [0.130, 0.130, 0.130], [0.389, 0.389, 0.389], [0.611, 0.611, 0.611], [0.870, 0.870, 0.870]], "formation_energy_ev_per_atom": -0.792, "m_tot_mub_per_cell": 0.00}

{"formula": "CaInPCl2", "functional": "PBE-GGA", "state": "optimized geometry", "lattice": [[5.381, 0.000, 0.000], [0.000, 5.381, 0.000], [0.000, 0.000, 6.068]], "species": ["Ca", "In", "P", "Cl", "Cl"], "fractional_positions": [[0.000, 0.000, 0.000], [0.500, 0.500, 0.500], [0.000, 0.000, 0.500], [0.000, 0.500, 0.000], [0.500, 0.000, 0.000]], "m_tot_mub_per_cell": 2.00, "formation_energy_uncorrected_mev_per_atom": -729}

{"formula": "Th2ZnAgIr", "functional": "PBE-GGA", "state": "optimized geometry", "lattice": [[6.561, 0.000, 0.000], [0.000, 4.363, 0.000], [-0.636, 0.000, 8.618]], "species": ["Th", "Th", "Th", "Th", "Zn", "Zn", "Ag", "Ag", "Ir", "Ir"], "fractional_positions": [[0.161, 0.250, 0.343], [0.236, 0.250, 0.927], [0.764, 0.750, 0.073], [0.839, 0.750, 0.657], [0.499, 0.250, 0.617], [0.501, 0.750, 0.383], [0.296, 0.750, 0.650], [0.704, 0.250, 0.350], [0.229, 0.750, 0.141], [0.771, 0.250, 0.859]], "formation_energy_ev_per_atom": -0.408, "m_tot_mub_per_cell": 0.00}

{"formula": "LaCeSmCd", "functional": "PBE-GGA", "state": "optimized geometry", "lattice": [[0.000, 3.898, 3.898], [3.898, 0.000, 3.898], [3.898, 3.898, 0.000]], "species": ["La", "Ce", "Sm", "Cd"], "fractional_positions": [[0.000, 0.000, 0.000], [0.750, 0.750, 0.750], [0.500, 0.500, 0.500], [0.250, 0.250, 0.250]], "formation_energy_ev_per_atom": 0.036, "m_tot_mub_per_cell": 2.72}

{"formula": "TbThIn2", "functional": "PBE-GGA", "state": "optimized geometry", "lattice": [[3.541, 0.000, 0.000], [0.000, 3.541, 0.000], [0.000, 0.000, 8.849]], "species": ["Tb", "Th", "In", "In"], "fractional_positions": [[0.000, 0.000, 0.000], [0.000, 0.000, 0.500], [0.500, 0.500, 0.241], [0.500, 0.500, 0.759]], "formation_energy_ev_per_atom": -0.377, "m_tot_mub_per_cell": 0.00}

{"formula": "ReN3F", "functional": "PBE-GGA", "state": "optimized geometry", "lattice": [[3.870, 0.000, 0.000], [0.000, 3.870, 0.000], [0.000, 0.000, 3.870]], "species": ["Re", "N", "N", "N", "F"], "fractional_positions": [[0.000, 0.000, 0.000], [0.000, 0.000, 0.500], [0.000, 0.500, 0.000], [0.500, 0.000, 0.000], [0.500, 0.500, 0.500]], "m_tot_mub_per_cell": 2.99, "formation_energy_uncorrected_mev_per_atom": 782}

{"formula": "Cs2CuPS4", "functional": "PBE-GGA", "state": "optimized geometry", "lattice": [[0.000, 6.821, 12.305], [2.954, 0.000, 12.305], [2.954, 6.821, 0.000]], "species": ["Cs", "Cs", "Cs", "Cs", "Cu", "Cu", "P", "P", "S", "S", "S", "S", "S", "S", "S", "S"], "fractional_positions": [[0.052, 0.052, 0.698], [0.302, 0.302, 0.948], [0.698, 0.698, 0.052], [0.948, 0.948, 0.302], [0.125, 0.125, 0.125], [0.875, 0.875, 0.875], [0.375, 0.375, 0.375], [0.625, 0.625, 0.625], [0.030, 0.626, 0.548], [0.296, 0.548, 0.626], [0.374, 0.970, 0.704], [0.452, 0.704, 0.970], [0.548, 0.296, 0.030], [0.626, 0.030, 0.296], [0.704, 0.452, 0.374], [0.970, 0.374, 0.452]], "m_tot_mub_per_cell": 0.00, "formation_energy_uncorrected_mev_per_atom": -760}

{"formula": "Ac3AlSi6Pd2", "functional": "PBE-GGA", "state": "optimized geometry", "lattice": [[6.114, 0.000, 0.000], [-3.057, 5.295, 0.000], [0.000, 0.000, 8.504]], "species": ["Ac", "Ac", "Ac", "Al", "Si", "Si", "Si", "Si", "Si", "Si", "Pd", "Pd"], "fractional_positions": [[0.000, 0.000, 0.000], [0.333, 0.667, 0.640], [0.667, 0.333, 0.360], [0.000, 0.000, 0.500], [0.200, 0.400, 0.292], [0.200, 0.800, 0.292], [0.400, 0.200, 0.708], [0.600, 0.800, 0.292], [0.800, 0.200, 0.708], [0.800, 0.600, 0.708], [0.333, 0.667, 0.050], [0.667, 0.333, 0.950]], "m_tot_mub_per_cell": 0.00, "formation_energy_uncorrected_mev_per_atom": -351}

{"formula": "AcZrSc2", "functional": "PBE-GGA", "state": "optimized geometry", "lattice": [[1.733, 1.001, 10.815], [-1.733, 1.001, 10.815], [0.000, -2.001, 10.815]], "species": ["Ac", "Zr", "Sc", "Sc"], "fractional_positions": [[0.000, 0.000, 0.000], [0.500, 0.500, 0.500], [0.242, 0.242, 0.242], [0.758, 0.758, 0.758]], "formation_energy_ev_per_atom": 0.184, "m_tot_mub_per_cell": 0.00}

{"formula": "PmSm2Lu", "functional": "PBE-GGA", "state": "optimized geometry", "lattice": [[0.000, 4.045, 4.045], [4.045, 0.000, 4.045], [4.045, 4.045, 0.000]], "species": ["Pm", "Sm", "Sm", "Lu"], "fractional_positions": [[0.000, 0.000, 0.000], [0.250, 0.250, 0.250], [0.750, 0.750, 0.750], [0.500, 0.500, 0.500]], "formation_energy_ev_per_atom": 0.138, "m_tot_mub_per_cell": 0.00}

{"formula": "AlAs2Br", "functional": "PBE-GGA", "state": "optimized geometry", "lattice": [[2.599, -6.518, 0.000], [2.599, 6.518, 0.000], [0.000, 0.000, 2.802]], "species": ["Al", "As", "As", "Br"], "fractional_positions": [[0.000, 0.000, 0.000], [0.000, 0.500, 0.500], [0.500, 0.000, 0.500], [0.500, 0.500, 0.000]], "m_tot_mub_per_cell": 0.00, "formation_energy_uncorrected_mev_per_atom": 343}

Please write out number 5 again, unchanged.
{"formula": "LaCeSmCd", "functional": "PBE-GGA", "state": "optimized geometry", "lattice": [[0.000, 3.898, 3.898], [3.898, 0.000, 3.898], [3.898, 3.898, 0.000]], "species": ["La", "Ce", "Sm", "Cd"], "fractional_positions": [[0.000, 0.000, 0.000], [0.750, 0.750, 0.750], [0.500, 0.500, 0.500], [0.250, 0.250, 0.250]], "formation_energy_ev_per_atom": 0.036, "m_tot_mub_per_cell": 2.72}